Entry 1:
A geometry-optimized CoBr structure. Source: Alexandria, functional PBE.

Summary:
* space group: No. 187
* crystal system: hexagonal
* raw formation energy: 566 meV per atom
* energy relative to the lowest polymorph listed for this composition: 680 meV per atom

a b c (Å): 3.486 3.486 3.460
angles (deg): 90.00 90.00 120.00
Sites, in units of the cell vectors:
Br 0.000 0.000 0.000
Co 0.667 0.333 0.500

Entry 2:
A geometry-optimized HfPtRh2W structure. Source: Alexandria, functional PBE.

Summary:
* space group: No. 123
* crystal system: tetragonal
* E_form: 1.06 eV/atom

a b c (Å): 4.601 5.053 4.601
angles (deg): 90.00 90.00 90.00
Sites, in units of the cell vectors:
Rh 0.000 0.000 0.500
Rh 0.500 0.000 0.000
Hf 0.000 0.500 0.000
W 0.000 0.000 0.000
Pt 0.500 0.500 0.500

Entry 3:
A geometry-optimized Ti3BIr structure. Source: Alexandria, functional PBE.

Summary:
* space group: No. 221
* crystal system: cubic
* E_form: 1.04 eV/atom
* energy relative to the lowest polymorph listed for this composition: 1339 meV per atom

a b c (Å): 4.696 4.696 4.696
angles (deg): 90.00 90.00 90.00
Sites, in units of the cell vectors:
B 0.500 0.500 0.500
Ir 0.000 0.000 0.000
Ti 0.000 0.500 0.000
Ti 0.000 0.000 0.500
Ti 0.500 0.000 0.000

Entry 4:
A geometry-optimized Tb2NdSm3Dy6 structure. Source: Alexandria, functional PBE.

Summary:
* space group: No. 12
* crystal system: monoclinic
* E_form: 0.01 eV/atom

a b c (Å): 6.199 6.199 11.832
angles (deg): 94.99 94.99 119.97
Sites, in units of the cell vectors:
Tb 0.333 0.667 0.000
Tb 0.667 0.333 0.000
Nd 0.000 0.000 0.000
Sm 0.167 0.833 0.500
Sm 0.833 0.167 0.500
Sm 0.500 0.500 0.500
Dy 0.917 0.583 0.751
Dy 0.750 0.750 0.249
Dy 0.083 0.417 0.249
Dy 0.583 0.917 0.751
Dy 0.250 0.250 0.751
Dy 0.417 0.083 0.249

Entry 5:
A geometry-optimized Si3SnAu structure. Source: Alexandria, functional PBE.

Summary:
* space group: No. 221
* crystal system: cubic
* raw formation energy: 825 meV per atom
* energy relative to the lowest polymorph listed for this composition: 0 meV per atom

a b c (Å): 4.892 4.892 4.892
angles (deg): 90.00 90.00 90.00
Sites, in units of the cell vectors:
Si 0.000 0.500 0.000
Si 0.000 0.000 0.500
Si 0.500 0.000 0.000
Au 0.000 0.000 0.000
Sn 0.500 0.500 0.500

Entry 6:
A geometry-optimized CeScPdPb structure. Source: Alexandria, functional PBE.

Summary:
* space group: No. 216
* crystal system: cubic
* E_form: -0.45 eV/atom

a b c (Å): 5.160 5.160 5.160
angles (deg): 60.00 60.00 60.00
Sites, in units of the cell vectors:
Pb 0.250 0.250 0.250
Sc 0.000 0.000 0.000
Pd 0.750 0.750 0.750
Ce 0.500 0.500 0.500

Magnetic moment values (in Bohr magnetons per cell) by entry order: 2.00, 0.00, 0.59, 0.00, 0.00, 1.20.